Entry 1:
{
  "formula": "BaLa2",
  "functional": "SCAN",
  "state": "single point on PBEsol structure",
  "delta_e_f_ev_per_atom": 0.261,
  "volume_a3_per_atom": 39.37,
  "energy_ev_per_fu": -125.0,
  "lattice_angstrom": [[3.7021, 0.0000, 0.0000], [0.0000, 6.3974, 0.0000], [-1.8511, -3.1987, 9.9744]],
  "species": ["La", "Ba", "Ba", "La", "La", "La"],
  "fractional_positions": [[0.9736, 0.7236, 0.9473], [0.6455, 0.8955, 0.2910], [0.3545, 0.1045, 0.7090], [0.8171, 0.5671, 0.6343], [0.1829, 0.4329, 0.3657], [0.0264, 0.2764, 0.0527]]
}

Entry 2:
{
  "formula": "BaLa5",
  "functional": "SCAN",
  "state": "single point on PBEsol structure",
  "delta_e_f_ev_per_atom": 0.061,
  "volume_a3_per_atom": 36.35,
  "energy_ev_per_fu": -254.7,
  "lattice_angstrom": [[-2.8414, -0.6937, 2.2321], [2.3354, -0.9897, 2.6653], [0.4287, 15.2162, 5.2746]],
  "species": ["La", "La", "La", "La", "Ba", "La"],
  "fractional_positions": [[0.5000, 0.5000, 0.3427], [0.0000, 0.0000, 0.8053], [0.5000, 0.5000, 0.6573], [0.0000, 0.0000, 0.1947], [0.5000, 0.5000, 0.0000], [0.0000, 0.0000, 0.5000]]
}

Entry 3:
{
  "formula": "Ba2Li2La",
  "functional": "SCAN",
  "state": "single point on PBEsol structure",
  "delta_e_f_ev_per_atom": 0.169,
  "volume_a3_per_atom": 37.17,
  "energy_ev_per_fu": -126.1,
  "lattice_angstrom": [[3.9344, 0.0000, 0.0000], [0.0000, 3.9344, 0.0000], [-1.9672, -1.9672, 12.0075]],
  "species": ["La", "Ba", "Ba", "Li", "Li"],
  "fractional_positions": [[0.0000, 0.0000, 0.0000], [0.6201, 0.6201, 0.2402], [0.3799, 0.3799, 0.7598], [0.7500, 0.2500, 0.5000], [0.2500, 0.7500, 0.5000]]
}

Entry 4:
{
  "formula": "BaLiLa",
  "functional": "SCAN",
  "state": "single point on PBEsol structure",
  "delta_e_f_ev_per_atom": 0.212,
  "volume_a3_per_atom": 36.71,
  "energy_ev_per_fu": -84.4,
  "lattice_angstrom": [[3.7620, 0.0000, 0.0000], [-1.8810, 3.2580, 0.0000], [0.0000, 0.0000, 8.9855]],
  "species": ["Li", "La", "Ba"],
  "fractional_positions": [[0.6667, 0.3333, 0.3437], [0.3333, 0.6667, 0.6460], [0.0000, 0.0000, 0.0103]]
}

Entry 5:
{
  "formula": "BaLiLaTeO6",
  "functional": "SCAN",
  "state": "single point on PBEsol structure",
  "volume_a3_per_atom": 12.64,
  "e_form_raw_mev_per_atom": -2514,
  "energy_ev_per_fu": -184.8,
  "lattice_angstrom": [[5.6330, 0.0000, 0.0000], [2.8165, 4.8783, 0.0000], [2.8165, 1.6261, 4.5993]],
  "species": ["O", "O", "O", "O", "O", "O", "Te", "Li", "Ba", "La"],
  "fractional_positions": [[0.2581, 0.7419, 0.7419], [0.7419, 0.7419, 0.2581], [0.7419, 0.2581, 0.7419], [0.7419, 0.2581, 0.2581], [0.2581, 0.7419, 0.2581], [0.2581, 0.2581, 0.7419], [0.5000, 0.5000, 0.5000], [0.0000, 0.0000, 0.0000], [0.2500, 0.2500, 0.2500], [0.7500, 0.7500, 0.7500]]
}

Entry 6:
{
  "formula": "BaLiLaSc2",
  "functional": "SCAN",
  "state": "single point on PBEsol structure",
  "delta_e_f_ev_per_atom": 0.783,
  "volume_a3_per_atom": 36.18,
  "energy_ev_per_fu": -109.6,
  "lattice_angstrom": [[-3.4932, -2.8730, -2.9713], [2.2454, -4.5853, 1.7938], [-3.9609, -0.0856, 4.7393]],
  "species": ["Sc", "Sc", "Li", "La", "Ba"],
  "fractional_positions": [[0.5000, 0.0000, 0.0000], [0.0000, 0.5000, 0.0000], [0.5000, 0.5000, 0.5000], [0.0000, 0.0000, 0.0000], [0.0000, 0.0000, 0.5000]]
}

What is the formula in the second record?
BaLa5

Copy entry 4 word for word.
{
  "formula": "BaLiLa",
  "functional": "SCAN",
  "state": "single point on PBEsol structure",
  "delta_e_f_ev_per_atom": 0.212,
  "volume_a3_per_atom": 36.71,
  "energy_ev_per_fu": -84.4,
  "lattice_angstrom": [[3.7620, 0.0000, 0.0000], [-1.8810, 3.2580, 0.0000], [0.0000, 0.0000, 8.9855]],
  "species": ["Li", "La", "Ba"],
  "fractional_positions": [[0.6667, 0.3333, 0.3437], [0.3333, 0.6667, 0.6460], [0.0000, 0.0000, 0.0103]]
}

Copy entry 4 word for word.
{
  "formula": "BaLiLa",
  "functional": "SCAN",
  "state": "single point on PBEsol structure",
  "delta_e_f_ev_per_atom": 0.212,
  "volume_a3_per_atom": 36.71,
  "energy_ev_per_fu": -84.4,
  "lattice_angstrom": [[3.7620, 0.0000, 0.0000], [-1.8810, 3.2580, 0.0000], [0.0000, 0.0000, 8.9855]],
  "species": ["Li", "La", "Ba"],
  "fractional_positions": [[0.6667, 0.3333, 0.3437], [0.3333, 0.6667, 0.6460], [0.0000, 0.0000, 0.0103]]
}